The following is a DFT calculation (PBE-GGA) of a geometry-optimized GdErNi8B2 structure.

**Energy relative to the lowest polymorph listed for this composition**: 0.014 eV per atom

Cell and atoms, written as POSCAR:
```
GdErNi8B2
1.0
4.9844 0.0000 0.0000
-2.4922 4.3167 0.0000
0.0000 0.0000 6.9664
Gd Er Ni B
1 1 8 2
Cartesian
0.0000 0.0000 0.0000
0.0000 0.0000 3.4832
-1.2461 2.1583 1.4540
-1.2461 2.1583 5.5124
0.0000 2.8778 3.4832
2.4922 0.0000 1.4540
2.4922 0.0000 5.5124
1.2461 2.1583 1.4540
1.2461 2.1583 5.5124
2.4922 1.4389 3.4832
0.0000 2.8778 0.0000
2.4922 1.4389 0.0000
```